{
  "formula": "BaSiTc",
  "functional": "PBE-GGA",
  "state": "relaxed",
  "cell": [[-0.077, -1.410, 4.080], [0.264, -4.075, -1.403], [9.602, 0.500, 0.353]],
  "species": ["Ba", "Ba", "Si", "Si", "Tc", "Tc"],
  "frac_coords": [[0.500, 0.000, 0.213], [0.000, 0.500, 0.787], [0.000, 0.500, 0.386], [0.500, 0.000, 0.614], [0.500, 0.500, 0.500], [0.000, 0.000, 0.500]],
  "vol_a3_per_fu": 90,
  "formation_energy_uncorrected_ev_per_atom": -0.297,
  "de_polymorph_ev_per_atom": 0.0000
}



{
  "formula": "KY2Mg",
  "functional": "PBE-GGA",
  "state": "relaxed",
  "cell": [[4.764, 0.000, 0.000], [0.000, 4.764, 0.000], [2.382, 2.382, 12.727]],
  "species": ["Mg", "Mg", "K", "K", "Y", "Y", "Y", "Y"],
  "frac_coords": [[0.250, 0.750, 0.500], [0.500, 0.500, 0.000], [0.750, 0.250, 0.500], [0.000, 0.000, 0.000], [0.375, 0.390, 0.750], [0.140, 0.625, 0.250], [0.875, 0.860, 0.750], [0.610, 0.125, 0.250]],
  "vol_a3_per_fu": 144,
  "formation_energy_ev_per_atom": 0.587
}



For reference, total DFT energy (no corrections) by record: -37.2 -26.5 eV for the cell shown.
For reference, magnetic moment by record: 0.00 0.00 μB/f.u..